(1)
Compound: KBPdF2
Source: Alexandria via LeMat-Bulk
Functional: PBE-GGA
Structure: optimized geometry

a b c (Å): 4.258 4.258 6.079
angles (deg): 90.00 90.00 90.00
Element x y z (fractional)
K: 0.000 0.000 0.000
B: 0.500 0.500 0.000
Pd: 0.000 0.000 0.500
F: 0.000 0.500 0.500
F: 0.500 0.000 0.500

Values from the calculation:
- formation energy without anion corrections (eV per atom) = 0.134
- polymorph energy (0 for the lowest one) (eV/atom) = 0.0000
- crystal system = tetragonal

=====

(2)
Compound: KBPdF2
Source: Alexandria via LeMat-Bulk
Functional: PBE-GGA
Structure: optimized geometry

a b c (Å): 4.546 4.546 5.199
angles (deg): 90.00 90.00 90.00
Element x y z (fractional)
K: 0.000 0.000 0.000
B: 0.000 0.000 0.500
Pd: 0.500 0.500 0.500
F: 0.000 0.500 0.000
F: 0.500 0.000 0.000

Values from the calculation:
- formation energy without anion corrections (eV per atom) = 0.404
- polymorph energy (0 for the lowest one) (eV/atom) = 0.2699
- crystal system = tetragonal

=====

(3)
Compound: KB2PdF8
Source: Alexandria via LeMat-Bulk
Functional: PBE-GGA
Structure: optimized geometry

a b c (Å): 8.052 8.052 8.052
angles (deg): 37.10 37.10 37.10
Element x y z (fractional)
K: 0.000 0.000 0.000
B: 0.252 0.252 0.252
B: 0.748 0.748 0.748
Pd: 0.500 0.500 0.500
F: 0.014 0.492 0.798
F: 0.202 0.986 0.508
F: 0.315 0.315 0.315
F: 0.492 0.798 0.014
F: 0.508 0.202 0.986
F: 0.685 0.685 0.685
F: 0.798 0.014 0.492
F: 0.986 0.508 0.202

Values from the calculation:
- formation energy without anion corrections (eV per atom) = -2.506
- crystal system = trigonal

=====

(4)
Compound: KBPtF2
Source: Alexandria via LeMat-Bulk
Functional: PBE-GGA
Structure: optimized geometry

a b c (Å): 4.581 4.581 3.986
angles (deg): 90.00 90.00 90.00
Element x y z (fractional)
K: 0.000 0.000 0.000
B: 0.500 0.500 0.500
Pt: 0.500 0.500 0.000
F: 0.000 0.500 0.500
F: 0.500 0.000 0.500

Values from the calculation:
- formation energy without anion corrections (eV per atom) = -0.604
- crystal system = tetragonal

=====

(5)
Compound: KPuB2F8
Source: Alexandria via LeMat-Bulk
Functional: PBE-GGA
Structure: optimized geometry

a b c (Å): 10.072 10.072 10.072
angles (deg): 26.83 26.83 26.83
Element x y z (fractional)
K: 0.000 0.000 0.000
Pu: 0.500 0.500 0.500
B: 0.258 0.258 0.258
B: 0.742 0.742 0.742
F: 0.055 0.734 0.482
F: 0.266 0.518 0.945
F: 0.307 0.307 0.307
F: 0.482 0.055 0.734
F: 0.518 0.945 0.266
F: 0.693 0.693 0.693
F: 0.734 0.482 0.055
F: 0.945 0.266 0.518

Values from the calculation:
- formation energy without anion corrections (eV per atom) = -2.730
- crystal system = trigonal

=====

(6)
Compound: KRb2BF6
Source: Alexandria via LeMat-Bulk
Functional: PBE-GGA
Structure: optimized geometry

a b c (Å): 5.996 5.996 5.996
angles (deg): 60.00 60.00 60.00
Element x y z (fractional)
K: 0.000 0.000 0.000
Rb: 0.250 0.250 0.250
Rb: 0.750 0.750 0.750
B: 0.500 0.500 0.500
F: 0.305 0.305 0.695
F: 0.305 0.695 0.305
F: 0.305 0.695 0.695
F: 0.695 0.305 0.305
F: 0.695 0.305 0.695
F: 0.695 0.695 0.305

Values from the calculation:
- formation energy without anion corrections (eV per atom) = -2.590
- crystal system = cubic